1.
TbAg2 | PBE-GGA | optimized geometry

Cell: 3.741 3.741 9.208 Å, 90.00 90.00 90.00°
Fractional coordinates of all 6 atoms:
Tb 0.500 0.500 0.000
Tb 0.000 0.000 0.500
Ag 0.000 0.000 0.830
Ag 0.500 0.500 0.670
Ag 0.500 0.500 0.331
Ag 0.000 0.000 0.169

Results
**Symmetry**: P4/nmm (129)
**Total magnetic moment**: 0.0 μB/cell
**E_tot**: -3.749 eV per atom

2.
LiDyOs | PBE-GGA | optimized geometry

Cell: 4.274 4.274 4.274 Å, 60.00 60.00 60.00°
Last column: magnetic moment on the atom in μB.
Fractional coordinates of all 3 atoms:
Os 0.750 0.750 0.750  0.11
Li 0.000 0.000 0.000  0.00
Dy 0.250 0.250 0.250  -0.03

Results
**Symmetry**: F-43m (216)
**Total magnetic moment**: 0.1 μB/cell
**E_tot**: -5.386 eV per atom

3.
HoTm2Te3 | PBE-GGA | optimized geometry

Cell: 4.302 4.302 10.569 Å, 90.00 90.00 120.00°
Fractional coordinates of all 6 atoms:
Te 0.333 0.667 0.669
Te 0.000 0.000 0.000
Tm 0.667 0.333 0.834
Tm 0.333 0.667 0.166
Te 0.667 0.333 0.331
Ho 0.000 0.000 0.500

Results
**Symmetry**: P-3m1 (164)
**Total magnetic moment**: 0.0 μB/cell
**E_tot**: -5.016 eV per atom

4.
ZnFeBAu | PBE-GGA | optimized geometry

Cell: 4.129 4.129 4.129 Å, 60.00 60.00 60.00°
Fractional coordinates of all 4 atoms:
Fe 0.750 0.750 0.750
B 0.000 0.000 0.000
Au 0.250 0.250 0.250
Zn 0.500 0.500 0.500

Results
**Symmetry**: F-43m (216)
**Total magnetic moment**: 2.0 μB/cell
**E_tot**: -4.282 eV per atom

5.
SrNb4O6 | PBE-GGA | optimized geometry

Cell: 4.189 4.189 16.290 Å, 90.00 90.00 90.00°
Fractional coordinates of all 22 atoms:
Sr 0.000 0.000 0.125
Nb 0.500 0.500 0.752
Sr 0.000 0.000 0.875
O 0.500 0.000 0.763
O 0.500 0.000 0.000
O 0.500 0.500 0.880
Nb 0.500 0.000 0.632
Nb 0.500 0.500 0.500
O 0.000 0.500 0.237
Nb 0.500 0.500 0.000
Nb 0.000 0.500 0.632
O 0.000 0.500 0.000
Nb 0.000 0.500 0.368
Nb 0.500 0.000 0.368
O 0.500 0.000 0.500
O 0.000 0.500 0.500
O 0.000 0.500 0.763
O 0.500 0.000 0.237
Nb 0.500 0.500 0.248
O 0.000 0.000 0.626
O 0.500 0.500 0.120
O 0.000 0.000 0.374

Results
**Symmetry**: P4/mmm (123)
**Total magnetic moment**: 0.0 μB/cell
**E_tot**: -8.852 eV per atom

6.
BeCuSiPt | PBE-GGA | optimized geometry

Cell: 4.091 4.091 4.091 Å, 60.00 60.00 60.00°
Fractional coordinates of all 4 atoms:
Be 0.500 0.500 0.500
Pt 0.250 0.250 0.250
Cu 0.750 0.750 0.750
Si 0.000 0.000 0.000

Results
**Symmetry**: F-43m (216)
**Total magnetic moment**: 0.0 μB/cell
**E_tot**: -5.044 eV per atom

7.
LuTlCdTe3 | PBE-GGA | optimized geometry

Cell: 8.695 4.702 18.421 Å, 90.00 90.00 90.00°
Fractional coordinates of all 24 atoms:
Cd 0.914 0.250 0.659
Te 0.504 0.750 0.925
Te 0.496 0.250 0.075
Tl 0.554 0.750 0.697
Te 0.996 0.250 0.425
Te 0.375 0.750 0.444
Te 0.763 0.250 0.796
Te 0.125 0.250 0.944
Te 0.004 0.750 0.575
Lu 0.765 0.250 0.961
Tl 0.446 0.250 0.303
Tl 0.946 0.250 0.197
Te 0.625 0.250 0.556
Lu 0.235 0.750 0.039
Lu 0.735 0.750 0.461
Te 0.237 0.750 0.204
Te 0.737 0.750 0.296
Te 0.875 0.750 0.056
Cd 0.414 0.250 0.841
Te 0.263 0.250 0.704
Lu 0.265 0.250 0.539
Cd 0.086 0.750 0.341
Cd 0.586 0.750 0.159
Tl 0.054 0.750 0.803

Results
**Symmetry**: Pnma (62)
**Total magnetic moment**: 0.0 μB/cell
**E_tot**: -3.547 eV per atom

8.
HoTmGe2Ir | PBE-GGA | optimized geometry

Cell: 5.630 5.630 10.223 Å, 114.46 114.46 44.73°
Fractional coordinates of all 10 atoms:
Ge 0.646 0.646 0.052
Ir 0.271 0.271 0.164
Ge 0.354 0.354 0.948
Ge 0.479 0.479 0.616
Ho 0.190 0.190 0.618
Ge 0.521 0.521 0.384
Tm 0.992 0.992 0.170
Ir 0.729 0.729 0.836
Ho 0.810 0.810 0.382
Tm 0.008 0.008 0.830

Results
**Symmetry**: C2/m (12)
**Total magnetic moment**: 0.0 μB/cell
**E_tot**: -6.351 eV per atom

9.
TbTmSi2Mo2C | PBE-GGA | optimized geometry

Cell: 5.882 5.882 7.123 Å, 123.45 123.45 37.68°
Fractional coordinates of all 7 atoms:
Mo 0.206 0.206 0.084
Tm 0.426 0.426 0.706
Mo 0.794 0.794 0.915
C 0.999 0.999 0.996
Tb 0.575 0.575 0.297
Si 0.131 0.131 0.664
Si 0.869 0.869 0.338

Results
**Symmetry**: Cm (8)
**Total magnetic moment**: 0.0 μB/cell
**E_tot**: -7.861 eV per atom

10.
ZnICl | PBE-GGA | optimized geometry

Cell: 4.010 4.010 12.224 Å, 90.00 90.00 90.00°
Fractional coordinates of all 6 atoms:
Zn 0.500 0.500 0.500
Zn 0.000 0.000 0.000
Cl 0.000 0.500 0.099
I 0.500 0.000 0.362
Cl 0.500 0.000 0.901
I 0.000 0.500 0.638

Results
**Symmetry**: P-4m2 (115)
**E_tot**: -2.385 eV per atom

11.
ThZn | PBE-GGA | optimized geometry

Cell: 6.331 6.296 4.936 Å, 90.00 90.00 90.00°
Fractional coordinates of all 8 atoms:
Zn 0.986 0.003 0.000
Zn 0.848 0.747 0.500
Th 0.065 0.509 0.000
Th 0.269 0.009 0.500
Zn 0.486 0.247 0.000
Th 0.769 0.241 0.500
Th 0.565 0.741 0.000
Zn 0.348 0.503 0.500

Results
**Symmetry**: Pnma (62)
**Total magnetic moment**: 0.0 μB/cell
**E_tot**: -4.486 eV per atom

12.
K3FeS3 | PBE-GGA | optimized geometry

Cell: 7.724 12.554 10.008 Å, 90.00 127.66 90.00°
Last column: magnetic moment on the atom in μB.
Fractional coordinates of all 28 atoms:
K 0.388 0.368 0.523  0.01
K 0.868 0.192 0.579  0.01
K 0.132 0.808 0.421  0.01
S 0.656 0.669 0.196  0.13
S 0.853 0.389 0.377  0.11
S 0.344 0.331 0.804  0.13
K 0.650 0.922 0.396  0.01
Fe 0.941 0.945 0.851  3.03
S 0.853 0.111 0.877  0.12
Fe 0.941 0.555 0.351  3.03
K 0.868 0.308 0.079  0.01
K 0.388 0.132 0.023  0.01
S 0.124 0.544 0.245  0.14
S 0.876 0.044 0.255  0.14
S 0.656 0.831 0.696  0.13
K 0.132 0.692 0.921  0.01
K 0.612 0.868 0.977  0.01
S 0.344 0.169 0.304  0.13
S 0.147 0.889 0.123  0.12
K 0.612 0.632 0.477  0.01
Fe 0.059 0.445 0.649  3.03
K 0.350 0.078 0.604  0.01
K 0.650 0.578 0.896  0.01
S 0.124 0.956 0.745  0.14
S 0.147 0.611 0.623  0.11
S 0.876 0.456 0.755  0.14
K 0.350 0.422 0.104  0.01
Fe 0.059 0.055 0.149  3.03

Results
**Symmetry**: P2_1/c (14)
**Total magnetic moment**: 16.0 μB/cell
**E_tot**: -4.354 eV per atom